(1)
Density functional theory data (PBE) for MnAs after structural relaxation.

Cell: 3.280 8.441 4.517 Å, 90.00 90.00 90.00°
Last column: magnetic moment on the atom in μB.
Sites, in units of the cell vectors:
Mn  0.000  0.287  0.250  1.88
Mn  0.000  0.713  0.750  1.88
Mn  0.500  0.787  0.250  1.88
Mn  0.500  0.213  0.750  1.88
As  0.000  0.589  0.250  -0.12
As  0.000  0.411  0.750  -0.12
As  0.500  0.089  0.250  -0.12
As  0.500  0.911  0.750  -0.12

- density (kg/m³) = 6896
- space-group type = No. 63
- formation energy from the elements (eV/atom) = -0.02


(2)
Density functional theory data (PBE) for Ce3SnSb after structural relaxation.

Cell: 5.826 7.859 7.859 Å, 79.64 68.24 68.24°
Last column: magnetic moment on the atom in μB.
Sites, in units of the cell vectors:
Ce  0.005  0.177  0.812  0.37
Ce  0.495  0.688  0.323  0.37
Ce  0.505  0.312  0.677  0.37
Ce  0.995  0.823  0.188  0.37
Ce  0.000  0.000  0.500  0.36
Ce  0.500  0.000  0.500  0.36
Sn  0.000  0.500  0.500  -0.01
Sn  0.500  0.000  0.000  -0.01
Sb  0.750  0.284  0.216  -0.01
Sb  0.250  0.716  0.784  -0.01

- density (kg/m³) = 7079
- total energy (eV per atom) = -5.34
- space-group type = No. 74


(3)
Density functional theory data (PBE) for VHSe2N after structural relaxation.

Cell: 4.883 3.665 4.883 Å, 90.00 90.00 90.00°
Last column: magnetic moment on the atom in μB.
Sites, in units of the cell vectors:
H  0.500  0.500  0.500  0.26
N  0.000  0.500  0.000  -0.36
Se  0.000  0.000  0.500  -0.25
Se  0.500  0.000  0.000  -0.31
V  0.000  0.000  0.000  0.33

- density (kg/m³) = 4255
- total energy (eV per atom) = -4.97
- space-group type = No. 123